(1)
# Sr2LaCd9, optimized geometry, DFT PBE
# N(E_F): 27.6 states/eV per cell
# E_form: -305.3 kJ/mol of formula units
data_Sr2LaCd9
_cell_length_a 6.1447
_cell_length_b 6.1447
_cell_length_c 29.2640
_cell_angle_alpha 90.00
_cell_angle_beta 90.00
_cell_angle_gamma 120.00
_symmetry_space_group_name_H-M 'R -3 m'
_symmetry_Int_Tables_number 166
_symmetry_space_group_name_Hall '-R 3 2"'
loop_
_atom_site_label
_atom_site_fract_x
_atom_site_fract_y
_atom_site_fract_z
_atom_site_occupancy
Sr1 0.0000 0.0000 0.1420 1
La1 0.0000 0.0000 0.0000 1
Cd1 0.0000 0.0000 0.3353 1
Cd2 0.0000 0.0000 0.5000 1
Cd3 0.0069 0.5035 0.9173 1

(2)
# NiP2Cl, optimized geometry, DFT PBE
# N(E_F): 5.5 states/eV per cell
# Uncorrected formation energy: 0.31 eV per atom
# ΔE to the lowest computed polymorph: 0.525 eV/atom
data_NiP2Cl
_cell_length_a 4.8404
_cell_length_b 4.8404
_cell_length_c 5.0262
_cell_angle_alpha 90.00
_cell_angle_beta 90.00
_cell_angle_gamma 90.00
_symmetry_space_group_name_H-M 'I 4/m m m'
_symmetry_Int_Tables_number 139
_symmetry_space_group_name_Hall '-I 4 2'
loop_
_atom_site_label
_atom_site_fract_x
_atom_site_fract_y
_atom_site_fract_z
_atom_site_occupancy
Ni1 0.0000 0.0000 0.0000 1
P1 0.0000 0.5000 0.0000 1
Cl1 0.0000 0.0000 0.5000 1

(3)
# ScTl2Ag, optimized geometry, DFT PBE
# N(E_F): 5.6 states/eV per cell
# E_form: 7.3 kJ/mol of formula units
data_ScTl2Ag
_cell_length_a 3.4390
_cell_length_b 5.6628
_cell_length_c 9.7989
_cell_angle_alpha 90.00
_cell_angle_beta 90.00
_cell_angle_gamma 90.00
_symmetry_space_group_name_H-M 'I m m m'
_symmetry_Int_Tables_number 71
_symmetry_space_group_name_Hall '-I 2 2'
loop_
_atom_site_label
_atom_site_fract_x
_atom_site_fract_y
_atom_site_fract_z
_atom_site_occupancy
Sc1 0.0000 0.0000 0.0000 1
Tl1 0.0000 0.5000 0.2411 1
Ag1 0.0000 0.0000 0.5000 1

(4)
# Fe2TcSb, optimized geometry, DFT PBE
# N(E_F): 4.1 states/eV per cell
# Uncorrected formation energy: 0.22 eV per atom
data_Fe2TcSb
_cell_length_a 3.1521
_cell_length_b 3.1521
_cell_length_c 5.8701
_cell_angle_alpha 90.00
_cell_angle_beta 90.00
_cell_angle_gamma 90.00
_symmetry_space_group_name_H-M 'P 4 m m'
_symmetry_Int_Tables_number 99
_symmetry_space_group_name_Hall 'P 4 -2'
loop_
_atom_site_label
_atom_site_fract_x
_atom_site_fract_y
_atom_site_fract_z
_atom_site_occupancy
Fe1 0.0000 0.0000 0.0000 1
Fe2 0.5000 0.5000 0.2139 1
Tc1 0.5000 0.5000 0.7480 1
Sb1 0.0000 0.0000 0.4735 1

(5)
# PmNd2Se3, optimized geometry, DFT PBE
# N(E_F): 5.3 states/eV per cell
# Uncorrected formation energy: -1.84 eV per atom
# ΔE to the lowest computed polymorph: 0.000 eV/atom
data_PmNd2Se3
_cell_length_a 4.2335
_cell_length_b 5.9570
_cell_length_c 12.6381
_cell_angle_alpha 90.00
_cell_angle_beta 90.00
_cell_angle_gamma 90.00
_symmetry_space_group_name_H-M 'I m m m'
_symmetry_Int_Tables_number 71
_symmetry_space_group_name_Hall '-I 2 2'
loop_
_atom_site_label
_atom_site_fract_x
_atom_site_fract_y
_atom_site_fract_z
_atom_site_occupancy
Pm1 0.0000 0.0000 0.0000 1
Nd1 0.0000 0.0000 0.3322 1
Se1 0.0000 0.5000 0.0000 1
Se2 0.0000 0.5000 0.3351 1

(6)
# Cr5As, optimized geometry, DFT PBE
# N(E_F): 5.2 states/eV per cell
# ΔE to the lowest computed polymorph: 0.065 eV/atom
# E_form: 44.2 kJ/mol of formula units
data_Cr5As
_cell_length_a 2.9497
_cell_length_b 2.9497
_cell_length_c 8.4749
_cell_angle_alpha 90.00
_cell_angle_beta 90.00
_cell_angle_gamma 90.00
_symmetry_space_group_name_H-M 'P 4/m m m'
_symmetry_Int_Tables_number 123
_symmetry_space_group_name_Hall '-P 4 2'
loop_
_atom_site_label
_atom_site_fract_x
_atom_site_fract_y
_atom_site_fract_z
_atom_site_occupancy
Cr1 0.0000 0.0000 0.0000 1
Cr2 0.0000 0.0000 0.3294 1
Cr3 0.5000 0.5000 0.1662 1
As1 0.5000 0.5000 0.5000 1

(7)
# Ce2ZnAs4Ir3, optimized geometry, DFT PBE
# N(E_F): 9.0 states/eV per cell
# E_form: -674.4 kJ/mol of formula units
data_Ce2ZnAs4Ir3
_cell_length_a 4.3652
_cell_length_b 4.3652
_cell_length_c 9.9035
_cell_angle_alpha 90.00
_cell_angle_beta 90.00
_cell_angle_gamma 90.00
_symmetry_space_group_name_H-M 'P -4 m 2'
_symmetry_Int_Tables_number 115
_symmetry_space_group_name_Hall 'P -4 -2'
loop_
_atom_site_label
_atom_site_fract_x
_atom_site_fract_y
_atom_site_fract_z
_atom_site_occupancy
Ce1 0.0000 0.5000 0.2443 1
Zn1 0.0000 0.0000 0.5000 1
As1 0.0000 0.0000 0.0000 1
As2 0.0000 0.5000 0.6369 1
As3 0.5000 0.5000 0.0000 1
Ir1 0.0000 0.5000 0.8833 1
Ir2 0.5000 0.5000 0.5000 1

(8)
# ThMnGe2Ru, optimized geometry, DFT PBE
# N(E_F): 6.9 states/eV per cell
# E_form: -272.3 kJ/mol of formula units
data_ThMnGe2Ru
_cell_length_a 4.1336
_cell_length_b 4.1336
_cell_length_c 10.6838
_cell_angle_alpha 90.00
_cell_angle_beta 90.00
_cell_angle_gamma 90.00
_symmetry_space_group_name_H-M 'I -4 m 2'
_symmetry_Int_Tables_number 119
_symmetry_space_group_name_Hall 'I -4 -2'
loop_
_atom_site_label
_atom_site_fract_x
_atom_site_fract_y
_atom_site_fract_z
_atom_site_occupancy
Th1 0.0000 0.0000 0.0000 1
Mn1 0.0000 0.5000 0.2500 1
Ge1 0.0000 0.0000 0.3787 1
Ru1 0.0000 0.5000 0.7500 1

(9)
# CdTcAu2, optimized geometry, DFT PBE
# N(E_F): 3.3 states/eV per cell
# E_form: 117.9 kJ/mol of formula units
data_CdTcAu2
_cell_length_a 4.4277
_cell_length_b 4.4277
_cell_length_c 7.3894
_cell_angle_alpha 90.00
_cell_angle_beta 90.00
_cell_angle_gamma 90.00
_symmetry_space_group_name_H-M 'I 4/m m m'
_symmetry_Int_Tables_number 139
_symmetry_space_group_name_Hall '-I 4 2'
loop_
_atom_site_label
_atom_site_fract_x
_atom_site_fract_y
_atom_site_fract_z
_atom_site_occupancy
Cd1 0.0000 0.0000 0.0000 1
Tc1 0.0000 0.0000 0.5000 1
Au1 0.0000 0.5000 0.2500 1

(10)
# TiTlAg3, optimized geometry, DFT PBE
# N(E_F): 3.8 states/eV per cell
# ΔE to the lowest computed polymorph: 0.000 eV/atom
# E_form: 414.3 kJ/mol of formula units
data_TiTlAg3
_cell_length_a 5.1923
_cell_length_b 5.1923
_cell_length_c 5.1923
_cell_angle_alpha 90.00
_cell_angle_beta 90.00
_cell_angle_gamma 90.00
_symmetry_space_group_name_H-M 'P m -3 m'
_symmetry_Int_Tables_number 221
_symmetry_space_group_name_Hall '-P 4 2 3'
loop_
_atom_site_label
_atom_site_fract_x
_atom_site_fract_y
_atom_site_fract_z
_atom_site_occupancy
Ti1 0.0000 0.0000 0.0000 1
Tl1 0.5000 0.5000 0.5000 1
Ag1 0.0000 0.0000 0.5000 1

(11)
# Pr12Sn3N5, optimized geometry, DFT PBE
# N(E_F): 94.3 states/eV per cell
# Uncorrected formation energy: -0.82 eV per atom
data_Pr12Sn3N5
_cell_length_a 16.3769
_cell_length_b 16.3769
_cell_length_c 16.3769
_cell_angle_alpha 90.00
_cell_angle_beta 90.00
_cell_angle_gamma 90.00
_symmetry_space_group_name_H-M 'I a -3 d'
_symmetry_Int_Tables_number 230
_symmetry_space_group_name_Hall '-I 4bd 2c 3'
loop_
_atom_site_label
_atom_site_fract_x
_atom_site_fract_y
_atom_site_fract_z
_atom_site_occupancy
Pr1 0.0369 0.0505 0.6474 1
Sn1 0.0000 0.2500 0.1250 1
N1 0.0000 0.0000 0.0000 1
N2 0.0000 0.2500 0.3750 1

(12)
# Mg2CuNiH, optimized geometry, DFT PBE
# N(E_F): 1.2 states/eV per cell
# ΔE to the lowest computed polymorph: 0.094 eV/atom
data_Mg2CuNiH
_cell_length_a 4.3501
_cell_length_b 4.3501
_cell_length_c 3.3128
_cell_angle_alpha 90.00
_cell_angle_beta 90.00
_cell_angle_gamma 90.00
_symmetry_space_group_name_H-M 'P 4/m m m'
_symmetry_Int_Tables_number 123
_symmetry_space_group_name_Hall '-P 4 2'
loop_
_atom_site_label
_atom_site_fract_x
_atom_site_fract_y
_atom_site_fract_z
_atom_site_occupancy
Mg1 0.0000 0.5000 0.0000 1
Cu1 0.0000 0.0000 0.5000 1
Ni1 0.5000 0.5000 0.5000 1
H1 0.0000 0.0000 0.0000 1

(13)
# CdBiSe2I, optimized geometry, DFT PBE
# Uncorrected formation energy: -0.46 eV per atom
data_CdBiSe2I
_cell_length_a 13.9584
_cell_length_b 4.2499
_cell_length_c 10.3493
_cell_angle_alpha 90.00
_cell_angle_beta 91.19
_cell_angle_gamma 90.00
_symmetry_space_group_name_H-M 'C 1 2/m 1'
_symmetry_Int_Tables_number 12
_symmetry_space_group_name_Hall '-C 2y'
loop_
_atom_site_label
_atom_site_fract_x
_atom_site_fract_y
_atom_site_fract_z
_atom_site_occupancy
Cd1 0.0000 0.0000 0.0000 1
Cd2 0.0000 0.0000 0.5000 1
Bi1 0.2153 0.5000 0.3172 1
Se1 0.0816 0.0000 0.2617 1
Se2 0.1431 0.5000 0.5607 1
I1 0.1377 0.5000 0.9259 1

(14)
# AcPrSm3Dy, optimized geometry, DFT PBE
# N(E_F): 19.7 states/eV per cell
# E_form: 21.4 kJ/mol of formula units
data_AcPrSm3Dy
_cell_length_a 8.2645
_cell_length_b 5.2192
_cell_length_c 10.4224
_cell_angle_alpha 90.00
_cell_angle_beta 108.64
_cell_angle_gamma 90.00
_symmetry_space_group_name_H-M 'P 1 21/m 1'
_symmetry_Int_Tables_number 11
_symmetry_space_group_name_Hall '-P 2yb'
loop_
_atom_site_label
_atom_site_fract_x
_atom_site_fract_y
_atom_site_fract_z
_atom_site_occupancy
Ac1 0.1672 0.2500 0.2930 1
Pr1 0.4963 0.7500 0.8742 1
Sm1 0.1695 0.7500 0.0402 1
Sm2 0.1708 0.2500 0.7915 1
Sm3 0.1714 0.7500 0.5455 1
Dy1 0.4982 0.2500 0.6255 1

(15)
# Mg5SnI12, optimized geometry, DFT PBE
# N(E_F): 0.0 states/eV per cell
# Uncorrected formation energy: -0.95 eV per atom
data_Mg5SnI12
_cell_length_a 7.4043
_cell_length_b 12.8329
_cell_length_c 15.7725
_cell_angle_alpha 90.00
_cell_angle_beta 90.05
_cell_angle_gamma 90.00
_symmetry_space_group_name_H-M 'C 1 2/m 1'
_symmetry_Int_Tables_number 12
_symmetry_space_group_name_Hall '-C 2y'
loop_
_atom_site_label
_atom_site_fract_x
_atom_site_fract_y
_atom_site_fract_z
_atom_site_occupancy
Mg1 0.0000 0.0000 0.0000 1
Mg2 0.0000 0.1666 0.5000 1
Mg3 0.0000 0.3335 0.0000 1
Sn1 0.0000 0.5000 0.5000 1
I1 0.1419 0.0000 0.6105 1
I2 0.1663 0.1666 0.8955 1
I3 0.1662 0.5000 0.8953 1
I4 0.1793 0.3208 0.6104 1

(16)
# RbNa2WS4, optimized geometry, DFT PBE
# N(E_F): 7.6 states/eV per cell
# Uncorrected formation energy: -0.89 eV per atom
data_RbNa2WS4
_cell_length_a 7.2613
_cell_length_b 7.2613
_cell_length_c 8.7050
_cell_angle_alpha 90.00
_cell_angle_beta 90.00
_cell_angle_gamma 90.00
_symmetry_space_group_name_H-M 'I -4 2 m'
_symmetry_Int_Tables_number 121
_symmetry_space_group_name_Hall 'I -4 2'
loop_
_atom_site_label
_atom_site_fract_x
_atom_site_fract_y
_atom_site_fract_z
_atom_site_occupancy
Rb1 0.0000 0.0000 0.0000 1
Na1 0.0000 0.5000 0.2500 1
W1 0.0000 0.0000 0.5000 1
S1 0.1805 0.1805 0.3525 1

(17)
# AlTlTc2, optimized geometry, DFT PBE
# N(E_F): 4.9 states/eV per cell
# ΔE to the lowest computed polymorph: 0.360 eV/atom
# E_form: 187.9 kJ/mol of formula units
data_AlTlTc2
_cell_length_a 3.1673
_cell_length_b 4.4313
_cell_length_c 4.7669
_cell_angle_alpha 90.00
_cell_angle_beta 90.00
_cell_angle_gamma 90.00
_symmetry_space_group_name_H-M 'P m m m'
_symmetry_Int_Tables_number 47
_symmetry_space_group_name_Hall '-P 2 2'
loop_
_atom_site_label
_atom_site_fract_x
_atom_site_fract_y
_atom_site_fract_z
_atom_site_occupancy
Al1 0.0000 0.0000 0.0000 1
Tl1 0.5000 0.0000 0.5000 1
Tc1 0.0000 0.5000 0.5000 1
Tc2 0.5000 0.5000 0.0000 1

(18)
# Dy2YBe, optimized geometry, DFT PBE
# N(E_F): 11.9 states/eV per cell
# ΔE to the lowest computed polymorph: 0.622 eV/atom
# E_form: 266.9 kJ/mol of formula units
data_Dy2YBe
_cell_length_a 3.4334
_cell_length_b 3.4334
_cell_length_c 34.2603
_cell_angle_alpha 90.00
_cell_angle_beta 90.00
_cell_angle_gamma 120.00
_symmetry_space_group_name_H-M 'R -3 m'
_symmetry_Int_Tables_number 166
_symmetry_space_group_name_Hall '-R 3 2"'
loop_
_atom_site_label
_atom_site_fract_x
_atom_site_fract_y
_atom_site_fract_z
_atom_site_occupancy
Dy1 0.0000 0.0000 0.0842 1
Y1 0.0000 0.0000 0.5000 1
Be1 0.0000 0.0000 0.0000 1

(19)
# KFePt, optimized geometry, DFT PBE
# N(E_F): 7.7 states/eV per cell
# ΔE to the lowest computed polymorph: 0.070 eV/atom
# E_form: 83.1 kJ/mol of formula units
data_KFePt
_cell_length_a 3.4415
_cell_length_b 3.4415
_cell_length_c 11.9858
_cell_angle_alpha 90.00
_cell_angle_beta 90.00
_cell_angle_gamma 90.00
_symmetry_space_group_name_H-M 'I 4 m m'
_symmetry_Int_Tables_number 107
_symmetry_space_group_name_Hall 'I 4 -2'
loop_
_atom_site_label
_atom_site_fract_x
_atom_site_fract_y
_atom_site_fract_z
_atom_site_occupancy
K1 0.0000 0.0000 0.0000 1
Fe1 0.0000 0.0000 0.7299 1
Pt1 0.0000 0.0000 0.2790 1

(20)
# KIr2Pb, optimized geometry, DFT PBE
# N(E_F): 4.0 states/eV per cell
# E_form: 299.9 kJ/mol of formula units
data_KIr2Pb
_cell_length_a 2.9553
_cell_length_b 4.8578
_cell_length_c 6.5799
_cell_angle_alpha 90.00
_cell_angle_beta 99.18
_cell_angle_gamma 90.00
_symmetry_space_group_name_H-M 'P 1 2/m 1'
_symmetry_Int_Tables_number 10
_symmetry_space_group_name_Hall '-P 2y'
loop_
_atom_site_label
_atom_site_fract_x
_atom_site_fract_y
_atom_site_fract_z
_atom_site_occupancy
K1 0.0000 0.0000 0.0000 1
Ir1 0.3067 0.5000 0.6714 1
Pb1 0.5000 0.0000 0.5000 1